## CsOsI2 (PBE)

Data for an optimized crystal structure of CsOsI2.

Computed properties:
The calculation puts the density of states at the Fermi level at 1.06 states/eV/atom. The space-group type is Fm-3m (225). As for the density: 6.979 Mg/m³. The formation energy without anion corrections is 0.92 eV per atom. As for the polymorph energy (0 for the lowest one): 0.728 eV/atom.

a = 5.790 Å, b = 5.790 Å, c = 5.790 Å
α = 60.00°, β = 60.00°, γ = 60.00°
Element x y z (fractional)
1 Cs 0.000 0.000 0.000
2 Os 0.500 0.500 0.500
3 I 0.250 0.250 0.250
4 I 0.750 0.750 0.750

=====

## CsOsI2 (PBE)

Data for an optimized crystal structure of CsOsI2.

Computed properties:
The calculation puts the density of states at the Fermi level at 1.36 states/eV/atom. The space-group type is I-42d (122). As for the density: 6.462 Mg/m³. The formation energy without anion corrections is 0.19 eV per atom. As for the polymorph energy (0 for the lowest one): 0.000 eV/atom.

a = 7.284 Å, b = 7.284 Å, c = 7.284 Å
α = 107.57°, β = 107.57°, γ = 113.34°
Element x y z (fractional)
1 Cs 0.000 0.000 0.000
2 Cs 0.750 0.250 0.500
3 Os 0.250 0.750 0.500
4 Os 0.500 0.500 0.000
5 I 0.246 0.125 0.621
6 I 0.375 0.754 0.879
7 I 0.504 0.625 0.379
8 I 0.875 0.496 0.121

=====

## CsOs2I (PBE)

Data for an optimized crystal structure of CsOs2I.

Computed properties:
The calculation puts the density of states at the Fermi level at 1.02 states/eV/atom. The space-group type is Fm-3m (225). As for the density: 12.452 Mg/m³. The formation energy without anion corrections is 2.45 eV per atom. As for the polymorph energy (0 for the lowest one): 0.291 eV/atom.

a = 4.943 Å, b = 4.943 Å, c = 4.943 Å
α = 60.00°, β = 60.00°, γ = 60.00°
Element x y z (fractional)
1 Cs 0.000 0.000 0.000
2 Os 0.250 0.250 0.250
3 Os 0.750 0.750 0.750
4 I 0.500 0.500 0.500

=====

## Cs2OsI (PBE)

Data for an optimized crystal structure of Cs2OsI.

Computed properties:
The calculation puts the density of states at the Fermi level at 11.43 states/eV/atom. The space-group type is Fm-3m (225). As for the density: 5.049 Mg/m³. The formation energy without anion corrections is 0.73 eV per atom.

a = 6.472 Å, b = 6.472 Å, c = 6.472 Å
α = 60.00°, β = 60.00°, γ = 60.00°
Element x y z (fractional)
1 Cs 0.250 0.250 0.250
2 Cs 0.750 0.750 0.750
3 Os 0.000 0.000 0.000
4 I 0.500 0.500 0.500

=====

## CsOs2I (PBE)

Data for an optimized crystal structure of CsOs2I.

Computed properties:
The calculation puts the density of states at the Fermi level at 0.05 states/eV/atom. The space-group type is I-42d (122). As for the density: 9.266 Mg/m³. The formation energy without anion corrections is 2.16 eV per atom. As for the polymorph energy (0 for the lowest one): 0.000 eV/atom.

a = 6.697 Å, b = 6.697 Å, c = 6.697 Å
α = 106.72°, β = 106.72°, γ = 115.14°
Element x y z (fractional)
1 Cs 0.000 0.000 0.000
2 Cs 0.750 0.250 0.500
3 Os 0.227 0.625 0.102
4 Os 0.375 0.477 0.602
5 Os 0.523 0.125 0.898
6 Os 0.875 0.773 0.398
7 I 0.250 0.750 0.500
8 I 0.500 0.500 0.000

=====

## CsPOsI2 (PBE)

Data for an optimized crystal structure of CsPOsI2.

Computed properties:
The calculation puts the density of states at the Fermi level at 0.52 states/eV/atom. The space-group type is P4/mmm (123). As for the density: 6.360 Mg/m³. The formation energy without anion corrections is -0.13 eV per atom.

a = 5.954 Å, b = 5.954 Å, c = 4.477 Å
α = 90.00°, β = 90.00°, γ = 90.00°
Element x y z (fractional)
1 Cs 0.000 0.000 0.000
2 P 0.500 0.500 0.000
3 Os 0.500 0.500 0.500
4 I 0.000 0.500 0.500
5 I 0.500 0.000 0.500

=====

## Cs2OsPbI6 (PBE)

Data for an optimized crystal structure of Cs2OsPbI6.

Computed properties:
The calculation puts the density of states at the Fermi level at 0.00 states/eV/atom. The space-group type is I4/mmm (139). As for the density: 5.643 Mg/m³. The formation energy without anion corrections is -0.56 eV per atom.

a = 8.400 Å, b = 8.400 Å, c = 8.400 Å
α = 119.98°, β = 119.98°, γ = 90.04°
Element x y z (fractional)
1 Cs 0.250 0.750 0.500
2 Cs 0.750 0.250 0.500
3 Os 0.000 0.000 0.000
4 Pb 0.500 0.500 0.000
5 I 0.230 0.230 0.000
6 I 0.230 0.230 0.460
7 I 0.230 0.770 0.000
8 I 0.770 0.230 0.000
9 I 0.770 0.770 0.000
10 I 0.770 0.770 0.540

=====

## Cs4Pr6OsI13 (PBE)

Data for an optimized crystal structure of Cs4Pr6OsI13.

Computed properties:
The calculation puts the density of states at the Fermi level at 0.54 states/eV/atom. The space-group type is C2/m (12). As for the density: 4.731 Mg/m³. The formation energy without anion corrections is -1.33 eV per atom.

a = 10.170 Å, b = 10.170 Å, c = 12.697 Å
α = 111.54°, β = 111.54°, γ = 87.71°
Element x y z (fractional)
1 Cs 0.176 0.176 0.776
2 Cs 0.220 0.780 0.000
3 Cs 0.780 0.220 0.000
4 Cs 0.824 0.824 0.224
5 Pr 0.200 0.483 0.414
6 Pr 0.483 0.200 0.414
7 Pr 0.489 0.489 0.272
8 Pr 0.511 0.511 0.728
9 Pr 0.517 0.800 0.586
10 Pr 0.800 0.517 0.586
11 Os 0.500 0.500 0.500
12 I 0.131 0.131 0.278
13 I 0.146 0.470 0.140
14 I 0.168 0.501 0.669
15 I 0.177 0.823 0.500
16 I 0.470 0.146 0.140
17 I 0.499 0.832 0.331
18 I 0.500 0.500 0.000
19 I 0.501 0.168 0.669
20 I 0.530 0.854 0.860
21 I 0.823 0.177 0.500
22 I 0.832 0.499 0.331
23 I 0.854 0.530 0.860
24 I 0.869 0.869 0.722

=====

| no. | electronic total energy (eV/atom) |
| --- | --- |
| 1 | -2.879 |
| 2 | -3.607 |
| 3 | -3.768 |
| 4 | -2.890 |
| 5 | -4.060 |
| 6 | -4.246 |
| 7 | -3.158 |
| 8 | -3.974 |